10
Lattice="6.824 0.000 0.000 0.000 6.824 0.000 0.000 0.000 2.818" Properties=species:S:1:pos:R:3 comment="PBE-GGA Li2CuPt2, relaxed" formation_energy_ev_per_atom=-0.236 polymorph_energy_kj_per_mol_fu=71 pbc="T T T"
Li 0.796 2.616 0.000
Li 2.616 6.028 0.000
Li 4.208 0.796 0.000
Li 6.028 4.208 0.000
Cu 0.000 0.000 0.000
Cu 3.412 3.412 0.000
Pt 1.252 4.664 1.409
Pt 2.159 1.252 1.409
Pt 4.664 5.571 1.409
Pt 5.571 2.159 1.409

***

18
Lattice="2.201 -9.960 0.000 2.201 9.960 0.000 0.000 0.000 13.641" Properties=species:S:1:pos:R:3 comment="PBE-GGA Sr2YZnTe5, relaxed" e_form_raw_ev_per_atom=-1.201 pbc="T T T"
Sr 2.201 7.603 6.821
Sr 2.201 7.530 1.892
Sr 2.201 -7.530 8.712
Sr 2.201 -7.603 0.000
Y 2.201 5.945 11.351
Y 2.201 -5.945 4.530
Zn 2.201 1.271 3.356
Zn 2.201 -1.271 10.177
Te 2.201 9.070 11.651
Te 2.201 4.041 6.655
Te 2.201 3.843 2.346
Te 2.201 2.896 11.208
Te 2.201 0.021 7.885
Te 2.201 -0.021 1.064
Te 2.201 -2.896 4.388
Te 2.201 -3.843 9.166
Te 2.201 -4.041 13.476
Te 2.201 -9.070 4.831

***

12
Lattice="4.970 0.000 0.000 0.000 4.970 0.000 0.000 0.000 6.668" Properties=species:S:1:pos:R:3 comment="PBE-GGA LiVAs, relaxed" formation_energy_ev_per_atom=-0.076 polymorph_energy_kj_per_mol_fu=145 pbc="T T T"
Li 0.000 1.002 0.000
Li 0.000 3.968 3.334
Li 1.002 0.000 5.001
Li 3.968 0.000 1.667
V 1.537 1.537 2.500
V 1.537 3.433 0.833
V 3.433 1.537 4.167
V 3.433 3.433 5.834
As 0.815 2.485 5.001
As 2.485 0.815 0.000
As 2.485 4.155 3.334
As 4.155 2.485 1.667

***

13
Lattice="4.083 0.000 0.000 0.000 4.086 0.000 0.000 0.000 16.208" Properties=species:S:1:pos:R:3 comment="PBE-GGA Pa4TcGe8, relaxed" formation_energy_ev_per_atom=-0.397 pbc="T T T"
Pa 0.000 0.000 0.000
Pa 0.000 2.043 7.801
Pa 2.042 0.000 12.594
Pa 2.042 2.043 4.495
Tc 0.000 2.043 11.421
Ge 0.000 0.000 5.205
Ge 0.000 0.000 9.935
Ge 0.000 2.043 2.262
Ge 0.000 2.043 13.842
Ge 2.042 0.000 2.230
Ge 2.042 0.000 7.009
Ge 2.042 2.043 9.927
Ge 2.042 2.043 15.424

***

4
Lattice="3.059 0.000 0.000 0.000 4.058 0.000 0.000 0.000 5.691" Properties=species:S:1:pos:R:3 comment="PBE-GGA ZnRuCl2, relaxed" e_form_raw_ev_per_atom=0.349 polymorph_energy_kj_per_mol_fu=240 pbc="T T T"
Zn 0.000 0.000 0.000
Ru 1.529 0.000 2.845
Cl 0.000 2.029 2.845
Cl 1.529 2.029 0.000

***

5
Lattice="5.714 0.000 0.000 0.000 5.714 0.000 0.000 0.000 5.360" Properties=species:S:1:pos:R:3 comment="PBE-GGA SrZnSbI2, relaxed" e_form_raw_ev_per_atom=-0.407 polymorph_energy_kj_per_mol_fu=0 pbc="T T T"
Sr 0.000 0.000 0.000
Zn 2.857 2.857 2.680
Sb 2.857 2.857 0.000
I 0.000 2.857 2.680
I 2.857 0.000 2.680

***

14
Lattice="6.029 0.000 0.000 0.000 6.391 0.000 -0.537 0.000 8.864" Properties=species:S:1:pos:R:3 comment="PBE-GGA CsNbCdO4, relaxed" e_form_raw_ev_per_atom=-1.983 pbc="T T T"
Cs 0.980 1.598 4.079
Cs 4.512 4.793 4.785
Nb 1.803 4.793 1.962
Nb 3.689 1.598 6.902
Cd 0.292 1.598 8.664
Cd 5.199 4.793 0.200
O 0.894 3.288 1.229
O 0.894 6.299 1.229
O 1.519 4.793 3.774
O 1.831 1.598 7.146
O 3.661 4.793 1.718
O 3.973 1.598 5.090
O 4.598 0.092 7.635
O 4.598 3.103 7.635

***

4
Lattice="2.844 -5.158 0.000 2.844 5.158 0.000 0.000 0.000 3.365" Properties=species:S:1:pos:R:3 comment="PBE-GGA ZnHg2Sb, relaxed" e_form_raw_ev_per_atom=0.203 polymorph_energy_kj_per_mol_fu=48 pbc="T T T"
Zn 0.000 0.000 0.000
Hg 1.422 2.579 1.682
Hg 1.422 -2.579 1.682
Sb 2.844 0.000 0.000

***

6
Lattice="3.750 0.000 0.000 0.000 3.750 0.000 0.000 0.000 14.710" Properties=species:S:1:pos:R:3 comment="PBE-GGA LaPr4Mg, relaxed" formation_energy_ev_per_atom=-0.026 polymorph_energy_kj_per_mol_fu=0 pbc="T T T"
La 0.000 0.000 0.000
Pr 0.000 0.000 5.208
Pr 0.000 0.000 9.502
Pr 1.875 1.875 2.645
Pr 1.875 1.875 12.065
Mg 1.875 1.875 7.355

***

6
Lattice="0.000 4.278 4.278 4.278 0.000 4.278 4.278 4.278 0.000" Properties=species:S:1:pos:R:3 comment="PBE-GGA Ca4NiPt, relaxed" formation_energy_ev_per_atom=0.655 polymorph_energy_kj_per_mol_fu=626 pbc="T T T"
Ca 1.072 1.072 1.072
Ca 3.205 3.205 1.072
Ca 3.205 1.072 3.205
Ca 1.072 3.205 3.205
Ni 6.417 6.417 6.417
Pt 4.278 4.278 4.278

***

8
Lattice="3.884 0.000 0.000 0.000 5.024 0.000 0.000 0.000 12.304" Properties=species:S:1:pos:R:3 comment="PBE-GGA Pr4TlHg3, relaxed" formation_energy_ev_per_atom=-0.408 polymorph_energy_kj_per_mol_fu=32 pbc="T T T"
Pr 0.000 0.000 0.000
Pr 0.000 2.512 3.565
Pr 1.942 0.000 6.042
Pr 1.942 2.512 9.754
Tl 0.000 0.000 8.910
Hg 0.000 2.512 6.884
Hg 1.942 0.000 2.747
Hg 1.942 2.512 0.770

***

4
Lattice="4.907 0.000 0.000 0.000 4.907 0.000 0.000 0.000 3.446" Properties=species:S:1:pos:R:3 comment="PBE-GGA Np2AsS, relaxed" e_form_raw_ev_per_atom=-0.806 polymorph_energy_kj_per_mol_fu=84 pbc="T T T"
Np 0.000 2.453 0.000
Np 2.453 0.000 0.000
As 0.000 0.000 1.723
S 2.453 2.453 1.723

***

4
Lattice="3.734 0.000 0.000 0.000 3.734 0.000 0.000 0.000 4.175" Properties=species:S:1:pos:R:3 comment="PBE-GGA CoAsW2, relaxed" formation_energy_ev_per_atom=0.416 pbc="T T T"
Co 0.000 0.000 0.000
As 1.867 1.867 0.000
W 0.000 1.867 2.087
W 1.867 0.000 2.087

***

30
Lattice="-7.554 7.554 4.034 7.554 -7.554 4.034 7.554 7.554 -4.034" Properties=species:S:1:pos:R:3 comment="PBE-GGA Ho7Sb4Te4, relaxed" e_form_raw_ev_per_atom=-1.057 pbc="T T T"
Ho 4.292 0.000 0.000
Ho 10.817 0.000 0.000
Ho 7.554 2.098 0.000
Ho 0.000 0.000 1.940
Ho 0.000 4.292 0.000
Ho 4.406 4.406 0.000
Ho 3.148 -3.148 4.034
Ho 2.098 7.554 0.000
Ho 5.456 0.000 4.034
Ho -3.148 3.148 4.034
Ho 3.148 3.148 4.034
Ho 0.000 10.817 0.000
Ho 0.000 0.000 6.129
Ho 0.000 5.456 4.034
Sb 5.325 -2.229 2.017
Sb 9.783 -2.229 2.017
Sb 5.325 2.229 2.017
Sb 9.783 2.229 2.017
Sb -2.229 5.325 2.017
Sb 2.229 5.325 2.017
Sb -2.229 9.783 2.017
Sb 2.229 9.783 2.017
Te 1.844 1.844 0.000
Te 5.711 -5.711 4.034
Te 7.554 5.080 0.000
Te 5.080 7.554 0.000
Te 2.474 0.000 4.034
Te 0.000 2.474 4.034
Te -5.711 5.711 4.034
Te 5.711 5.711 4.034

***

10
Lattice="3.756 2.169 6.915 -3.756 2.169 6.915 0.000 -4.337 6.915" Properties=species:S:1:pos:R:3 comment="PBE-GGA Li2CaMnI6, relaxed" e_form_raw_ev_per_atom=-1.048 pbc="T T T"
Li 0.000 0.000 0.000
Li 0.000 0.000 10.335
Ca 0.000 0.000 3.819
Mn 0.000 0.000 14.150
I -1.276 -2.225 8.753
I -2.310 -0.090 12.331
I -1.289 2.218 8.753
I 1.233 -1.956 12.331
I 2.565 0.007 8.753
I 1.077 2.046 12.331

***

5
Lattice="5.295 0.000 0.000 0.000 5.295 0.000 0.000 0.000 5.295" Properties=species:S:1:pos:R:3 comment="PBE-GGA Pm3NiSn, relaxed" formation_energy_ev_per_atom=-0.313 polymorph_energy_kj_per_mol_fu=0 pbc="T T T"
Pm 0.000 0.000 2.647
Pm 0.000 2.647 0.000
Pm 2.647 0.000 0.000
Ni 0.000 0.000 0.000
Sn 2.647 2.647 2.647

***

11
Lattice="3.102 -5.377 0.000 3.102 5.377 0.000 -2.081 0.000 11.845" Properties=species:S:1:pos:R:3 comment="PBE-GGA Ac2Tb6Dy3, relaxed" formation_energy_ev_per_atom=0.185 pbc="T T T"
Ac 3.102 3.582 0.000
Ac 3.102 -3.582 0.000
Tb -0.007 1.790 8.762
Tb 1.033 0.000 3.081
Tb -0.007 -1.790 8.762
Tb 4.131 1.790 3.083
Tb 3.091 0.000 8.765
Tb 4.131 -1.790 3.083
Dy -1.040 0.000 5.923
Dy 2.062 1.775 5.923
Dy 2.062 -1.775 5.923

***

Quick rundown of DFT total energy, same order as above: -0.15571; -0.15361; -0.19490; -0.25570; -0.11803; -0.08975; -0.23913; -0.04765; -0.15800; -0.09736; -0.11784; -0.34805; -0.33072; -0.18853; -0.12783; -0.18816; -0.15960 Ha/atom
Quick rundown of total magnetization, same order as above: 0.0; 0.0; 0.0; 0.0; 1.2; 0.0; 0.0; 0.0; 0.0; 0.0; 0.0; 8.9; 0.5; 1.6; 5.0; 0.0; 0.0 μB per cell